(1)
Entry from OQMD via LeMat-Bulk: a relaxed HfTc2Mo crystal (PBE).

The total DFT energy (no corrections) is -166.512 eV/cell. The calculation puts the calculated density at 11.86 g/cm3. The calculation puts the energy above the most stable polymorph in this dataset at 25.9 kJ per mole of atoms. The volume is 16.47 A^3/atom. As for the total magnetic moment: 0.001 μB/f.u.

The structure belongs to space group Pnma (No. 62); the cell edges are 10.283, 4.658 and 5.500 Å and the angles 90.00°, 90.00° and 90.00°. The asymmetric unit holds Hf at (0.069, 0.250, 0.163), Tc at (0.173, 0.750, 0.474), Tc at (0.185, 0.750, 0.006) and Mo at (0.073, 0.250, 0.662).



(2)
Entry from OQMD via LeMat-Bulk: a relaxed Ho3AlGa2Ge2Pd crystal (PBE).

The total DFT energy (no corrections) is -90.241 eV/cell. The calculation puts the calculated density at 8.48 g/cm3. The volume is 19.87 A^3/atom. As for the total magnetic moment: 0.002 μB/f.u.

The structure belongs to space group Amm2 (No. 38); the cell edges are 4.239, 12.252 and 6.888 Å and the angles 90.00°, 90.00° and 90.00°. The asymmetric unit holds Ho at (0.000, 0.000, 0.000), Ho at (0.000, 0.208, 0.614), Al at (0.500, 0.000, 0.644), Ga at (0.500, 0.119, 0.295), Ge at (0.500, 0.163, 0.908) and Pd at (0.000, 0.000, 0.423).



(3)
Entry from OQMD via LeMat-Bulk: a relaxed Re2PdPb crystal (PBE).

The total DFT energy (no corrections) is -122.148 eV/cell. The calculation puts the calculated density at 16.74 g/cm3. The volume is 17.01 A^3/atom. As for the total magnetic moment: 0.006 μB/f.u.

The structure belongs to space group F-43m (No. 216); the cell edges are 6.481, 6.481 and 6.481 Å and the angles 90.00°, 90.00° and 90.00°. The asymmetric unit holds Re at (0.000, 0.000, 0.000), Re at (0.250, 0.250, 0.250), Pd at (0.250, 0.250, 0.750) and Pb at (0.000, 0.000, 0.500).



(4)
Entry from OQMD via LeMat-Bulk: a relaxed NaSrOs crystal (PBE).

The total DFT energy (no corrections) is -38.263 eV/cell. The calculation puts the calculated density at 5.77 g/cm3. The calculation puts the energy above the most stable polymorph in this dataset at 29.9 kJ per mole of atoms. The volume is 28.84 A^3/atom. As for the total magnetic moment: 1.112 μB/f.u.

The structure belongs to space group F-43m (No. 216); the cell edges are 7.021, 7.021 and 7.021 Å and the angles 90.00°, 90.00° and 90.00°. The asymmetric unit holds Na at (0.000, 0.000, 0.000), Sr at (0.250, 0.250, 0.250) and Os at (0.000, 0.000, 0.500).



(5)
Entry from OQMD via LeMat-Bulk: a relaxed KLiMoSe3 crystal (PBE).

The total DFT energy (no corrections) is -114.370 eV/cell. The calculation puts the calculated density at 4.46 g/cm3. The volume is 23.52 A^3/atom. As for the total magnetic moment: 1.999 μB/f.u.

The structure belongs to space group Cmcm (No. 63); the cell edges are 3.930, 14.515 and 9.894 Å and the angles 90.00°, 90.00° and 90.00°. The asymmetric unit holds K at (0.000, 0.246, 0.250), Li at (0.000, 0.473, 0.750), Mo at (0.000, 0.000, 0.000), Se at (0.000, 0.070, 0.750) and Se at (0.000, 0.383, 0.543).



(6)
Entry from OQMD via LeMat-Bulk: a relaxed KPa crystal (PBE).

The total DFT energy (no corrections) is -16.719 eV/cell. The calculation puts the calculated density at 4.47 g/cm3. The calculation puts the energy above the most stable polymorph in this dataset at 224.2 kJ per mole of atoms. The volume is 50.12 A^3/atom. As for the total magnetic moment: 3.196 μB/f.u.

The structure belongs to space group F-43m (No. 216); the cell edges are 7.374, 7.374 and 7.374 Å and the angles 90.00°, 90.00° and 90.00°. The asymmetric unit holds K at (0.000, 0.000, 0.000) and Pa at (0.250, 0.250, 0.750).



(7)
Entry from OQMD via LeMat-Bulk: a relaxed Y2Zn3Ni2 crystal (PBE).

The total DFT energy (no corrections) is -61.923 eV/cell. The calculation puts the calculated density at 6.69 g/cm3. The calculation puts the energy above the most stable polymorph in this dataset at 0.0 kJ per mole of atoms. The volume is 17.43 A^3/atom. As for the total magnetic moment: 0.000 μB/f.u.

The structure belongs to space group C2/m (No. 12); the cell edges are 9.517, 4.053 and 6.915 Å and the angles 90.00°, 113.80° and 90.00°. The asymmetric unit holds Y at (0.142, 0.000, 0.271), Zn at (0.000, 0.500, 0.500), Zn at (0.137, 0.500, 0.940) and Ni at (0.136, 0.000, 0.694).



(8)
Entry from OQMD via LeMat-Bulk: a relaxed SrTePtO crystal (PBE).

The total DFT energy (no corrections) is -167.503 eV/cell. The calculation puts the calculated density at 7.99 g/cm3. The calculation puts the energy above the most stable polymorph in this dataset at 5.3 kJ per mole of atoms. The volume is 22.14 A^3/atom. As for the total magnetic moment: 0.001 μB/f.u.

The structure belongs to space group Pbca (No. 61); the cell edges are 6.992, 13.730 and 7.381 Å and the angles 90.00°, 90.00° and 90.00°. The asymmetric unit holds Sr at (0.196, 0.189, 0.093), Te at (0.001, 0.028, 0.732), Pt at (0.242, 0.566, 0.471) and O at (0.145, 0.710, 0.378).



Among the records above, which one has the lowest calculated density?
KLiMoSe3